(1)
Computed, not measured: a geometry-optimized InSi2Sb structure at the PBE level of DFT.

abc: 9.825 9.825 9.825
angles: 18.88 18.88 18.88
Positions (direct):
Si  0.499  0.499  0.499
Si  0.001  0.001  0.001
Sb  0.750  0.750  0.750
In  0.250  0.250  0.250

Summary:
- volume (Å³/atom) = 21.7
- density of states at the Fermi level (states/eV/f.u.) = 0.72
- E above lowest polymorph (meV/atom) = 336
- raw formation energy (eV per atom) = 0.58
- magnetization (μB/f.u.) = 0.00

(2)
Computed, not measured: a geometry-optimized PrGa3PtRh structure at the PBE level of DFT.

abc: 5.975 7.788 6.801
angles: 124.93 90.00 90.00
Positions (direct):
Pr  0.750  0.244  0.487
Rh  0.250  0.470  0.941
Ga  0.500  0.748  0.000
Ga  0.750  0.738  0.476
Ga  0.500  0.252  0.000
Pr  0.250  0.756  0.513
Pt  0.750  0.951  0.903
Pt  0.250  0.049  0.097
Ga  0.000  0.748  0.000
Rh  0.750  0.530  0.059
Ga  0.000  0.252  0.000
Ga  0.250  0.262  0.524

Summary:
- formation energy (eV/atom) = -0.55
- volume (Å³/atom) = 21.6
- density of states at the Fermi level (states/eV/f.u.) = 2.85
- magnetization (μB/f.u.) = 0.00

(3)
Computed, not measured: a geometry-optimized Sm2SbO2 structure at the PBE level of DFT.

abc: 7.629 6.595 6.379
angles: 77.45 52.33 54.24
Positions (direct):
O  0.223  0.023  0.269
Sb  0.779  0.770  0.263
Sm  0.392  0.294  0.115
Sm  0.198  0.791  0.616
O  0.777  0.977  0.731
Sm  0.608  0.706  0.885
Sb  0.221  0.230  0.737
O  0.517  0.476  0.229
Sm  0.802  0.209  0.384
O  0.483  0.524  0.771

Summary:
- volume (Å³/atom) = 20.1
- density of states at the Fermi level (states/eV/f.u.) = 0.06
- E above lowest polymorph (meV/atom) = 92
- raw formation energy (eV per atom) = -2.56
- magnetization (μB/f.u.) = 0.00